1.
Below is an optimized crystal structure of PuMgScAl, with properties calculated at the PBE level.

As for the total magnetic moment: 22.9 μB/cell. For the energy of formation from the pure elements, the calculation gives -0.09 eV per atom. The value obtained for the total energy is -105.4 eV for the cell shown. For the density of states at the Fermi level, the calculation gives 6.1 states/eV/f.u. Its crystal system is cubic.

The structure belongs to space group F-43m (No. 216); the cell edges are 7.133, 7.133 and 7.133 Å and the angles 90.00°, 90.00° and 90.00°. Symmetry generates all atoms from Pu at (0.000, 0.000, 0.000), Mg at (0.250, 0.250, 0.750), Sc at (0.000, 0.000, 0.500) and Al at (0.250, 0.250, 0.250).



2.
Below is an optimized crystal structure of PuMgAl2Si2, with properties calculated at the PBE level.

As for the total magnetic moment: 5.9 μB/cell. The value obtained for the total energy is -35.9 eV for the cell shown. For the density of states at the Fermi level, the calculation gives 7.5 states/eV/f.u. Its crystal system is trigonal.

The structure belongs to space group P-3m1 (No. 164); the cell edges are 4.4612, 4.4612 and 6.2296 Å and the angles 90.00°, 90.00° and 120.00°. Symmetry generates all atoms from Pu at (0.0000, 0.0000, 0.0000), Mg at (0.0000, 0.0000, 0.5000), Al at (0.3333, 0.6667, 0.7075) and Si at (0.3333, 0.6667, 0.2698).



3.
Below is an optimized crystal structure of PuMgAlSn, with properties calculated at the PBE level.

As for the total magnetic moment: 22.3 μB/cell. For the energy of formation from the pure elements, the calculation gives -0.13 eV per atom. The value obtained for the total energy is -96.7 eV for the cell shown. For the density of states at the Fermi level, the calculation gives 11.7 states/eV/f.u. Its crystal system is cubic.

The structure belongs to space group F-43m (No. 216); the cell edges are 7.190, 7.190 and 7.190 Å and the angles 90.00°, 90.00° and 90.00°. Symmetry generates all atoms from Pu at (0.000, 0.000, 0.000), Mg at (0.000, 0.000, 0.500), Al at (0.250, 0.250, 0.750) and Sn at (0.250, 0.250, 0.250).



4.
Below is an optimized crystal structure of YPuMgAl, with properties calculated at the PBE level.

As for the total magnetic moment: 23.7 μB/cell. For the energy of formation from the pure elements, the calculation gives -0.09 eV per atom. The value obtained for the total energy is -106.0 eV for the cell shown. For the density of states at the Fermi level, the calculation gives 6.8 states/eV/f.u. Its crystal system is cubic.

The structure belongs to space group F-43m (No. 216); the cell edges are 7.369, 7.369 and 7.369 Å and the angles 90.00°, 90.00° and 90.00°. Symmetry generates all atoms from Y at (0.000, 0.000, 0.000), Pu at (0.000, 0.000, 0.500), Mg at (0.250, 0.250, 0.250) and Al at (0.250, 0.250, 0.750).